Below is crystalline AcScZnHg at its relaxed geometry, with properties calculated at the PBE-GGA level.

Cell: 5.322 5.322 5.322 Å, 60.00 60.00 60.00°
Sites, in units of the cell vectors:
Ac 0.000 0.000 0.000
Sc 0.500 0.500 0.500
Zn 0.250 0.250 0.250
Hg 0.750 0.750 0.750

Calculated values
Fermi-level density of states: 4.85 states/eV/f.u.
DFT formation energy: -96 kJ/mol of formula units
SG: No. 216